(1)
Density functional theory data (PBE-GGA) for Y2CoRu after structural relaxation.

Results
space group = No. 25
size of the total moment = 0.8 μB/f.u.
energy relative to the elements = 144 meV/atom

Cell lengths 3.351, 4.318, 5.718 Å; angles 90.00, 90.00, 90.00 degrees
Site moments in Bohr magnetons follow the coordinates.
Fractional positions:
Ru 0.500 0.500 0.795  0.20
Y 0.000 0.000 0.930  -0.06
Y 0.500 0.500 0.319  -0.12
Co 0.000 0.000 0.456  0.95

***

(2)
Density functional theory data (PBE-GGA) for NaIn4Au6 after structural relaxation.

Results
space group = No. 174
size of the total moment = 0.0 μB/f.u.
energy relative to the elements = -218 meV/atom
excess energy over the best structure of this formula in the dataset = 0.000 eV/atom

Cell lengths 4.558, 7.910, 7.910 Å; angles 120.00, 90.00, 90.00 degrees
Fractional positions:
Au 0.500 0.201 0.255
Au 0.500 0.054 0.799
Au 0.000 0.696 0.135
Au 0.000 0.439 0.304
Au 0.500 0.745 0.946
In 0.500 0.945 0.390
In 0.500 0.445 0.055
Na 0.000 0.333 0.667
In 0.000 0.000 0.000
Au 0.000 0.865 0.561
In 0.500 0.610 0.555

***

(3)
Density functional theory data (PBE-GGA) for TmThScAl after structural relaxation.

Results
space group = No. 99
size of the total moment = 0.0 μB/f.u.
energy relative to the elements = -205 meV/atom
excess energy over the best structure of this formula in the dataset = 0.000 eV/atom

Cell lengths 3.424, 3.424, 8.624 Å; angles 90.00, 90.00, 90.00 degrees
Fractional positions:
Al 0.000 0.000 0.558
Sc 0.500 0.500 0.356
Tm 0.500 0.500 0.787
Th 0.000 0.000 0.084

***

(4)
Density functional theory data (PBE-GGA) for MnSnPHS after structural relaxation.

Results
space group = No. 8
size of the total moment = 1.0 μB/f.u.
excess energy over the best structure of this formula in the dataset = 0.017 eV/atom

Cell lengths 4.872, 3.293, 9.869 Å; angles 90.00, 107.35, 90.00 degrees
Site moments in Bohr magnetons follow the coordinates.
Fractional positions:
H 0.859 0.000 0.672  0.00
H 0.859 0.500 0.172  0.00
P 0.066 0.000 0.811  -0.03
Mn 0.396 0.500 0.885  1.18
Sn 0.350 0.500 0.611  -0.08
S 0.757 0.500 0.434  0.01
Sn 0.350 0.000 0.111  -0.08
S 0.757 0.000 0.934  0.01
Mn 0.396 0.000 0.385  1.18
P 0.066 0.500 0.311  -0.03

***

(5)
Density functional theory data (PBE-GGA) for ErCu2Cl6 after structural relaxation.

Results
space group = No. 15
size of the total moment = 0.9 μB/f.u.
formation energy (no corrections) = -11.38 eV per formula unit

Cell lengths 6.555, 9.051, 9.051 Å; angles 81.31, 83.07, 83.07 degrees
Site moments in Bohr magnetons follow the coordinates.
Fractional positions:
Cl 0.133 0.122 0.634  0.04
Cl 0.082 0.460 0.293  0.08
Cl 0.867 0.878 0.366  0.04
Cl 0.418 0.707 0.540  0.08
Cu 0.760 0.697 0.541  0.30
Cl 0.582 0.293 0.460  0.08
Er 0.750 0.905 0.095  0.00
Cl 0.367 0.366 0.878  0.04
Cu 0.240 0.303 0.459  0.30
Cl 0.633 0.634 0.122  0.04
Cl 0.887 0.175 0.041  0.00
Er 0.250 0.095 0.905  0.00
Cl 0.918 0.540 0.707  0.08
Cl 0.613 0.959 0.825  0.00
Cl 0.387 0.041 0.175  0.00
Cl 0.113 0.825 0.959  0.00
Cu 0.260 0.541 0.697  0.30
Cu 0.740 0.459 0.303  0.30

***

(6)
Density functional theory data (PBE-GGA) for La2DyAu6 after structural relaxation.

Results
space group = No. 164
size of the total moment = 0.0 μB/f.u.
energy relative to the elements = -683 meV/atom

Cell lengths 5.564, 6.745, 6.745 Å; angles 120.00, 90.00, 90.00 degrees
Fractional positions:
La 0.672 0.333 0.667
Au 0.821 0.811 0.189
Au 0.179 0.623 0.811
La 0.328 0.667 0.333
Au 0.821 0.377 0.189
Dy 0.500 0.000 0.000
Au 0.179 0.189 0.377
Au 0.179 0.189 0.811
Au 0.821 0.811 0.623

***

(7)
Density functional theory data (PBE-GGA) for Ce4AlAu after structural relaxation.

Results
space group = No. 71
size of the total moment = 0.0 μB/f.u.
energy relative to the elements = -307 meV/atom

Cell lengths 5.153, 5.899, 5.899 Å; angles 98.02, 64.08, 64.08 degrees
Fractional positions:
Au 0.500 0.500 0.500
Ce 0.749 0.583 0.918
Ce 0.251 0.417 0.082
Ce 0.251 0.082 0.417
Al 0.000 0.000 0.000
Ce 0.749 0.918 0.583

***

(8)
Density functional theory data (PBE-GGA) for Rb2BaMnOs after structural relaxation.

Results
space group = No. 123
size of the total moment = 5.1 μB/f.u.
energy relative to the elements = 2210 meV/atom

Cell lengths 6.978, 5.362, 6.978 Å; angles 90.00, 90.00, 90.00 degrees
Site moments in Bohr magnetons follow the coordinates.
Fractional positions:
Ba 0.000 0.000 0.000  -0.37
Rb 0.500 0.000 0.000  -0.03
Mn 0.000 0.500 0.000  3.50
Rb 0.000 0.000 0.500  -0.04
Os 0.500 0.500 0.500  2.62

***

(9)
Density functional theory data (PBE-GGA) for LiCa2P2 after structural relaxation.

Results
space group = No. 127
size of the total moment = 0.0 μB/f.u.
energy relative to the elements = -666 meV/atom
excess energy over the best structure of this formula in the dataset = 0.111 eV/atom

Cell lengths 8.230, 8.230, 3.319 Å; angles 90.00, 90.00, 90.00 degrees
Fractional positions:
Li 0.000 0.000 0.000
Ca 0.866 0.634 0.000
Ca 0.366 0.866 0.000
Ca 0.134 0.366 0.000
P 0.667 0.833 0.500
P 0.833 0.333 0.500
Li 0.500 0.500 0.000
Ca 0.634 0.134 0.000
P 0.167 0.667 0.500
P 0.333 0.167 0.500

***

(10)
Density functional theory data (PBE-GGA) for InIrPb2 after structural relaxation.

Results
space group = No. 160
size of the total moment = 0.0 μB/f.u.
energy relative to the elements = 214 meV/atom

Cell lengths 10.477, 10.477, 10.477 Å; angles 18.29, 18.29, 18.29 degrees
Fractional positions:
Ir 0.754 0.754 0.754
Pb 0.017 0.017 0.017
In 0.484 0.484 0.484
Pb 0.245 0.245 0.245

***

(11)
Density functional theory data (PBE-GGA) for SrAsPd4 after structural relaxation.

Results
space group = No. 51
size of the total moment = 0.0 μB/f.u.
energy relative to the elements = -484 meV/atom

Cell lengths 4.100, 7.251, 7.714 Å; angles 90.00, 90.00, 90.00 degrees
Fractional positions:
As 0.000 0.791 0.250
Sr 0.000 0.370 0.250
Pd 0.500 0.055 0.250
Pd 0.500 0.289 0.940
Pd 0.000 0.000 0.500
Pd 0.500 0.945 0.750
Pd 0.500 0.711 0.440
Sr 0.000 0.630 0.750
Pd 0.500 0.711 0.060
Pd 0.000 0.000 0.000
As 0.000 0.209 0.750
Pd 0.500 0.289 0.560

***

(12)
Density functional theory data (PBE-GGA) for TaTl2Pb after structural relaxation.

Results
space group = No. 166
size of the total moment = 0.0 μB/f.u.
energy relative to the elements = 495 meV/atom
excess energy over the best structure of this formula in the dataset = 0.104 eV/atom

Cell lengths 11.404, 11.404, 11.404 Å; angles 16.29, 16.29, 16.29 degrees
Fractional positions:
Tl 0.491 0.491 0.491
Pb 0.250 0.250 0.250
Ta 0.750 0.750 0.750
Tl 0.009 0.009 0.009